(1)
Entry from Alexandria via LeMat-Bulk: a relaxed RbTlSi crystal (PBE).

The structure belongs to space group Pm (No. 6); the cell edges are 7.119, 3.820 and 8.606 Å and the angles 90.00°, 114.33° and 90.00°. Symmetry generates all atoms from Rb at (0.000, 0.000, 0.000), Rb at (0.265, 0.000, 0.533), Tl at (0.501, 0.500, 0.967), Tl at (0.800, 0.500, 0.566), Si at (0.429, 0.500, 0.266) and Si at (0.648, 0.000, 0.267).

Its density of states at the Fermi level is 0.07 states/eV/cell. The calculation puts the total energy at -2.864 eV/atom. For the total magnetization, the calculation gives 0.00 μB/f.u.

=====

(2)
Entry from Alexandria via LeMat-Bulk: a relaxed RbTlSi crystal (PBE).

The structure belongs to space group Immm (No. 71); the cell edges are 4.292, 7.664 and 12.958 Å and the angles 90.00°, 90.00° and 90.00°. Symmetry generates all atoms from Rb at (0.000, 0.000, 0.188), Tl at (0.000, 0.229, 0.500) and Si at (0.000, 0.500, 0.091).

Its density of states at the Fermi level is 4.55 states/eV/cell. The calculation puts the total energy at -2.852 eV/atom. For the total magnetization, the calculation gives 0.00 μB/f.u.

=====

(3)
Entry from Alexandria via LeMat-Bulk: a relaxed RbTlSi crystal (PBE).

The structure belongs to space group C2 (No. 5); the cell edges are 9.421, 8.534 and 6.081 Å and the angles 90.00°, 121.46° and 90.00°. Symmetry generates all atoms from Rb at (0.178, 0.000, 0.413), Tl at (0.108, 0.663, 0.870) and Si at (0.095, 0.336, 0.938).

Its density of states at the Fermi level is 1.82 states/eV/cell. The calculation puts the total energy at -2.796 eV/atom. For the total magnetization, the calculation gives 0.00 μB/f.u.

=====

Which of these has the highest density of states at the Fermi level?
number 2

=====

density of states at the Fermi level of number 1 (RbTlSi)?
0.07 states/eV/cell

=====

Among the records above, which one has the lowest density of states at the Fermi level?
number 1

=====

Which value of density of states at the Fermi level does entry 3 give?
1.82 states/eV/cell